#one
# BaTa2Cd

A geometry-optimized BaTa2Cd structure (PBE, Alexandria).

Geometry as POSCAR:
```
BaTa2Cd
1.0
5.032 -0.004 0.007
4.099 2.919 0.007
0.687 0.219 7.384
Cd Ba Ta
1 1 2
Direct
0.267 0.267 0.191
0.510 0.510 0.508
0.993 0.993 0.947
0.730 0.730 0.855
```

- symmetry = Cm, No. 8
- total moment (μB/cell) = 0.00
- DOS at the Fermi energy (states/eV per cell) = 3.51

---

#two
# BaTa2Cd

A geometry-optimized BaTa2Cd structure (PBE, Alexandria).

Geometry as POSCAR:
```
BaTa2Cd
1.0
6.144 0.005 0.000
-3.047 5.335 0.000
0.000 0.000 2.923
Cd Ba Ta
1 1 2
Direct
0.000 0.500 0.500
0.500 0.000 0.500
0.000 0.000 0.000
0.500 0.500 0.000
```

- symmetry = Cmmm, No. 65
- total moment (μB/cell) = 0.00
- DOS at the Fermi energy (states/eV per cell) = 4.37

---

#three
# BaTa2Cd

A geometry-optimized BaTa2Cd structure (PBE, Alexandria).

Geometry as POSCAR:
```
BaTa2Cd
1.0
-2.528 -1.648 -0.600
2.219 -1.916 0.933
-3.201 1.224 10.128
Cd Ba Ta
1 1 2
Direct
0.500 0.500 0.787
0.000 0.000 0.496
0.000 0.000 0.013
0.500 0.500 0.204
```

- symmetry = Cmm2, No. 35
- total moment (μB/cell) = 0.00
- DOS at the Fermi energy (states/eV per cell) = 3.07

---

The most stable of them is #three.

---

#one
# BaTb2Cd

A geometry-optimized BaTb2Cd structure (PBE, Alexandria).

Geometry as POSCAR:
```
BaTb2Cd
1.0
-2.294 2.268 2.062
-2.987 -2.233 -0.867
1.731 -5.348 7.807
Tb Ba Cd
2 1 1
Direct
0.000 0.000 0.816
0.000 0.000 0.184
0.500 0.500 0.500
0.500 0.500 0.000
```

- symmetry = P4/mmm, No. 123
- total moment (μB/cell) = 0.00
- DOS at the Fermi energy (states/eV per cell) = 5.20

---

#two
# BaTb2Cd

A geometry-optimized BaTb2Cd structure (PBE, Alexandria).

Geometry as POSCAR:
```
BaTb2Cd
1.0
3.647 0.000 0.000
1.823 3.158 0.000
1.823 1.053 12.181
Tb Ba Cd
2 1 1
Direct
0.100 0.100 0.699
0.900 0.900 0.301
0.000 0.000 0.000
0.500 0.500 0.500
```

- symmetry = R-3m, No. 166
- total moment (μB/cell) = 0.22
- DOS at the Fermi energy (states/eV per cell) = 5.18

---

The most stable of them is #one.

---

#one
# BaTbCd4

A geometry-optimized BaTbCd4 structure (PBE, Alexandria).

Geometry as POSCAR:
```
BaTbCd4
1.0
6.147 0.000 0.000
3.074 5.324 0.000
3.074 1.775 5.019
Tb Ba Cd
1 1 4
Direct
0.000 0.000 0.000
0.250 0.250 0.250
0.626 0.626 0.122
0.626 0.122 0.626
0.626 0.626 0.626
0.122 0.626 0.626
```

- symmetry = F-43m, No. 216
- total moment (μB/cell) = 0.00
- DOS at the Fermi energy (states/eV per cell) = 6.03

---

#two
# BaTbCd4

A geometry-optimized BaTbCd4 structure (PBE, Alexandria).

Geometry as POSCAR:
```
BaTbCd4
1.0
5.028 0.000 0.000
-2.514 4.355 0.000
0.000 0.000 8.144
Ba Tb Cd
1 1 4
Direct
0.000 0.000 0.500
0.000 0.000 0.000
0.333 0.667 0.194
0.333 0.667 0.806
0.667 0.333 0.194
0.667 0.333 0.806
```

- symmetry = P6/mmm, No. 191
- total moment (μB/cell) = 0.00
- DOS at the Fermi energy (states/eV per cell) = 5.57

---

The most stable of them is #two.

---

#one
# BaCd2Tc

A geometry-optimized BaCd2Tc structure (PBE, Alexandria).

Geometry as POSCAR:
```
BaCd2Tc
1.0
-0.207 -1.246 3.486
3.698 0.092 0.252
-0.358 7.315 2.593
Ba Cd Tc
1 2 1
Direct
0.500 0.500 0.722
0.000 0.000 0.062
0.500 0.500 0.291
0.000 0.000 0.424
```

- symmetry = P4mm, No. 99
- total moment (μB/cell) = 1.06
- DOS at the Fermi energy (states/eV per cell) = 4.32

---

#two
# BaCd2Tc

A geometry-optimized BaCd2Tc structure (PBE, Alexandria).

Geometry as POSCAR:
```
BaCd2Tc
1.0
0.000 3.779 3.779
3.779 0.000 3.779
3.779 3.779 0.000
Tc Ba Cd
1 1 2
Direct
0.000 0.000 0.000
0.500 0.500 0.500
0.250 0.250 0.250
0.750 0.750 0.750
```

- symmetry = Fm-3m, No. 225
- total moment (μB/cell) = 2.57
- DOS at the Fermi energy (states/eV per cell) = 4.72

---

The most stable of them is #one.

---

#one
# BaCd2Tc

A geometry-optimized BaCd2Tc structure (PBE, Alexandria).

Geometry as POSCAR:
```
BaCd2Tc
1.0
-7.051 0.138 3.471
-7.259 -2.630 -1.478
7.769 -0.719 0.955
Ba Cd Tc
1 2 1
Direct
0.318 0.818 0.500
0.014 0.014 0.000
0.661 0.161 0.500
0.507 0.507 0.000
```

- symmetry = Imm2, No. 44
- total moment (μB/cell) = 1.38
- DOS at the Fermi energy (states/eV per cell) = 4.29

---

#two
# BaCd2Tc

A geometry-optimized BaCd2Tc structure (PBE, Alexandria).

Geometry as POSCAR:
```
BaCd2Tc
1.0
-2.585 -3.778 0.088
0.265 -0.287 -4.563
3.989 -2.720 0.403
Ba Cd Tc
1 2 1
Direct
0.000 0.500 0.500
0.000 0.000 0.000
0.500 0.500 0.000
0.500 0.000 0.500
```

- symmetry = P4/mmm, No. 123
- total moment (μB/cell) = 1.44
- DOS at the Fermi energy (states/eV per cell) = 3.07

---

#three
# BaCd2Tc

A geometry-optimized BaCd2Tc structure (PBE, Alexandria).

Geometry as POSCAR:
```
BaCd2Tc
1.0
-1.810 -2.711 -1.066
0.779 -1.659 2.899
-6.953 3.189 3.693
Ba Cd Tc
1 2 1
Direct
0.500 0.500 0.750
0.000 0.000 0.063
0.000 0.000 0.437
0.500 0.500 0.250
```

- symmetry = P4/mmm, No. 123
- total moment (μB/cell) = 2.22
- DOS at the Fermi energy (states/eV per cell) = 3.18

---

The most stable of them is #three.

---

#one
# BaCd2Tc

A geometry-optimized BaCd2Tc structure (PBE, Alexandria).

Geometry as POSCAR:
```
BaCd2Tc
1.0
-3.905 5.174 0.105
-5.201 0.346 -3.855
3.237 -2.962 4.772
Ba Cd Tc
1 2 1
Direct
0.250 0.750 0.500
0.954 0.954 0.000
0.546 0.546 0.000
0.750 0.250 0.500
```

- symmetry = Immm, No. 71
- total moment (μB/cell) = 1.42
- DOS at the Fermi energy (states/eV per cell) = 2.34

---

#two
# BaCd2Tc

A geometry-optimized BaCd2Tc structure (PBE, Alexandria).

Geometry as POSCAR:
```
BaCd2Tc
1.0
-1.509 4.730 2.832
-5.643 0.788 -0.456
3.106 -4.544 1.542
Ba Cd Tc
1 2 1
Direct
0.750 0.250 0.500
0.000 0.000 0.000
0.500 0.500 0.000
0.250 0.750 0.500
```

- symmetry = I4/mmm, No. 139
- total moment (μB/cell) = 1.84
- DOS at the Fermi energy (states/eV per cell) = 4.64

---

#three
# BaCd2Tc

A geometry-optimized BaCd2Tc structure (PBE, Alexandria).

Geometry as POSCAR:
```
BaCd2Tc
1.0
5.313 0.000 0.000
2.657 4.601 0.000
2.657 1.534 4.338
Ba Cd Tc
1 2 1
Direct
0.500 0.500 0.500
0.000 0.000 0.000
0.250 0.250 0.250
0.750 0.750 0.750
```

- symmetry = F-43m, No. 216
- total moment (μB/cell) = 2.57
- DOS at the Fermi energy (states/eV per cell) = 7.11

---

The most stable of them is #one.